## K2LaGaSe4 (PBE)

Data for crystalline K2LaGaSe4 at its relaxed geometry.

## Properties
calculated density = 4.2 g/cm3

abc: 8.7347 8.7347 8.4043
angles: 117.72 117.72 91.94
Positions (direct):
K  0.0000  0.0000  0.0000
K  0.0000  0.0000  0.5000
K  0.0000  0.5000  0.0000
K  0.5000  0.0000  0.5000
La  0.0000  0.5000  0.5000
La  0.5000  0.0000  0.0000
Ga  0.5000  0.5000  0.0000
Ga  0.5000  0.5000  0.5000
Se  0.2594  0.7330  0.9779
Se  0.2670  0.7406  0.5221
Se  0.2988  0.3084  0.5201
Se  0.3084  0.2988  0.0201
Se  0.6916  0.7012  0.9799
Se  0.7012  0.6916  0.4799
Se  0.7330  0.2594  0.4779
Se  0.7406  0.2670  0.0221

---

## K4PuPa3Se8 (PBE)

Data for crystalline K4PuPa3Se8 at its relaxed geometry.

## Properties
calculated density = 6.0 g/cm3

abc: 9.1982 9.1982 9.1982
angles: 54.29 54.29 54.29
Positions (direct):
K  0.0000  0.0000  0.0000
K  0.0000  0.5000  0.5000
K  0.5000  0.0000  0.5000
K  0.5000  0.5000  0.0000
Pu  0.5000  0.5000  0.5000
Pa  0.0000  0.0000  0.5000
Pa  0.0000  0.5000  0.0000
Pa  0.5000  0.0000  0.0000
Se  0.2314  0.7397  0.7397
Se  0.2373  0.2373  0.2373
Se  0.2603  0.2603  0.7686
Se  0.2603  0.7686  0.2603
Se  0.7397  0.2314  0.7397
Se  0.7397  0.7397  0.2314
Se  0.7627  0.7627  0.7627
Se  0.7686  0.2603  0.2603

---

## SmTmIrO6 (PBE)

Data for crystalline SmTmIrO6 at its relaxed geometry.

## Properties
calculated density = 7.9 g/cm3

abc: 5.4639 5.4639 9.8650
angles: 90.00 90.00 120.00
Positions (direct):
Sm  0.0000  0.0000  0.0000
Sm  0.0000  0.0000  0.5000
Tm  0.3333  0.6667  0.2500
Tm  0.6667  0.3333  0.7500
Ir  0.3333  0.6667  0.7500
Ir  0.6667  0.3333  0.2500
O  0.0363  0.3716  0.6378
O  0.0363  0.6647  0.8622
O  0.3353  0.3716  0.8622
O  0.3353  0.9637  0.6378
O  0.3716  0.0363  0.1378
O  0.3716  0.3353  0.3622
O  0.6284  0.6647  0.6378
O  0.6284  0.9637  0.8622
O  0.6647  0.0363  0.3622
O  0.6647  0.6284  0.1378
O  0.9637  0.3353  0.1378
O  0.9637  0.6284  0.3622

---

## Ac4As2N2Cl (PBE)

Data for crystalline Ac4As2N2Cl at its relaxed geometry.

## Properties
calculated density = 6.9 g/cm3

abc: 8.6750 8.6750 8.6301
angles: 119.54 119.54 28.66
Positions (direct):
Ac  0.0164  0.0164  0.2508
Ac  0.2631  0.2631  0.3349
Ac  0.7369  0.7369  0.6651
Ac  0.9836  0.9836  0.7492
As  0.4090  0.4090  0.9416
As  0.5910  0.5910  0.0584
N  0.1743  0.1743  0.4879
N  0.8257  0.8257  0.5121
Cl  0.5000  0.5000  0.5000

---

Number 1: DFT total energy -4.1957 eV per atom. Number 2: DFT total energy -6.0640 eV per atom. Number 3: DFT total energy -7.5262 eV per atom. Number 4: DFT total energy -6.2575 eV per atom.